This record from the Alexandria database describes crystalline EuZn2Ru at its relaxed geometry. The functional is GGA-PBE.

The structure in extended XYZ format:
```
4
Lattice="3.377 0.000 0.000 0.000 3.377 0.000 0.000 0.000 6.497" Properties=species:S:1:pos:R:3 pbc="T T T"
Eu 0.000 0.000 0.000
Zn 1.689 1.689 2.021
Zn 1.689 1.689 4.475
Ru 0.000 0.000 3.248
```

Results
SG   P4/mmm
E   -5.5792 eV/atom
Fermi-level density of states   5.5 states/eV/f.u.
Crystal system   tetragonal

=====

This record from the Alexandria database describes crystalline Ta2NbRu4 at its relaxed geometry. The functional is GGA-PBE.

The structure in extended XYZ format:
```
14
Lattice="6.207 0.000 0.000 0.000 6.207 0.000 0.000 0.000 6.196" Properties=species:S:1:pos:R:3 pbc="T T T"
Ta 0.000 3.103 0.000
Ta 0.000 3.103 3.098
Ta 3.103 0.000 0.000
Ta 3.103 0.000 3.098
Nb 0.000 0.000 0.000
Nb 3.103 3.103 3.098
Ru 1.552 1.552 1.549
Ru 1.552 1.552 4.647
Ru 1.552 4.655 1.549
Ru 1.552 4.655 4.647
Ru 4.655 1.552 1.549
Ru 4.655 1.552 4.647
Ru 4.655 4.655 1.549
Ru 4.655 4.655 4.647
```

Results
SG   I4/mmm
E   -10.1759 eV/atom
Fermi-level density of states   5.1 states/eV/f.u.
Crystal system   tetragonal

=====

This record from the Alexandria database describes crystalline AsIN2 at its relaxed geometry. The functional is GGA-PBE.

The structure in extended XYZ format:
```
12
Lattice="3.259 0.000 0.000 -1.630 2.822 0.000 0.000 0.000 19.789" Properties=species:S:1:pos:R:3 pbc="T T T"
As 0.000 0.000 0.000
As 0.000 1.882 13.193
As 1.630 0.941 6.596
I 0.000 0.000 9.894
I 0.000 1.882 3.298
I 1.630 0.941 16.491
N 0.000 0.000 7.613
N 0.000 0.000 12.176
N 0.000 1.882 1.017
N 0.000 1.882 5.580
N 1.630 0.941 14.209
N 1.630 0.941 18.772
```

Results
SG   R-3m
Fermi-level density of states   1.7 states/eV/f.u.
Offset from the most stable computed form   0.000 eV/f.u.
Crystal system   trigonal

=====

This record from the Alexandria database describes crystalline AlSeF2 at its relaxed geometry. The functional is GGA-PBE.

The structure in extended XYZ format:
```
16
Lattice="6.074 0.000 0.000 0.000 6.074 0.000 0.000 0.000 6.074" Properties=species:S:1:pos:R:3 pbc="T T T"
Al 0.000 0.000 0.000
Al 0.000 3.037 3.037
Al 3.037 0.000 3.037
Al 3.037 3.037 0.000
Se 0.000 0.000 3.037
Se 0.000 3.037 0.000
Se 3.037 0.000 0.000
Se 3.037 3.037 3.037
F 1.518 1.518 1.518
F 1.518 1.518 4.555
F 1.518 4.555 1.518
F 1.518 4.555 4.555
F 4.555 1.518 1.518
F 4.555 1.518 4.555
F 4.555 4.555 1.518
F 4.555 4.555 4.555
```

Results
SG   Fm-3m
Fermi-level density of states   4.9 states/eV/f.u.
Offset from the most stable computed form   4.976 eV/f.u.
Crystal system   cubic

=====

This record from the Alexandria database describes crystalline ZnSn2Ru at its relaxed geometry. The functional is GGA-PBE.

The structure in extended XYZ format:
```
16
Lattice="9.758 0.000 0.000 0.000 9.758 0.000 0.000 0.000 5.059" Properties=species:S:1:pos:R:3 pbc="T T T"
Zn 0.000 2.439 1.897
Zn 0.000 7.318 3.162
Zn 4.879 2.439 0.632
Zn 4.879 7.318 4.427
Sn 0.000 0.000 0.000
Sn 0.000 4.879 0.000
Sn 2.439 2.439 3.795
Sn 2.439 7.318 1.265
Sn 4.879 0.000 2.530
Sn 4.879 4.879 2.530
Sn 7.318 2.439 3.795
Sn 7.318 7.318 1.265
Ru 0.000 2.439 4.427
Ru 0.000 7.318 0.632
Ru 4.879 2.439 3.162
Ru 4.879 7.318 1.897
```

Results
SG   I4_1/amd
E   -4.5725 eV/atom
Fermi-level density of states   0.1 states/eV/f.u.
Crystal system   tetragonal

=====

This record from the Alexandria database describes crystalline Sr3MgSn6 at its relaxed geometry. The functional is GGA-PBE.

The structure in extended XYZ format:
```
20
Lattice="6.463 3.732 4.260 -6.463 3.732 4.260 0.000 -7.463 4.260" Properties=species:S:1:pos:R:3 pbc="T T T"
Sr -3.653 1.136 5.326
Sr -2.810 -2.596 7.456
Sr 0.843 -3.732 5.326
Sr -0.843 3.732 7.456
Sr 2.810 2.596 5.326
Sr 3.653 -1.136 7.456
Mg 0.000 0.000 0.000
Mg 0.000 0.000 6.391
Sn -0.452 -2.313 2.000
Sn -1.777 1.548 2.000
Sn -1.778 -1.548 4.391
Sn 2.229 0.766 2.000
Sn -0.452 2.313 4.391
Sn 2.229 -0.766 4.391
Sn -2.229 0.766 8.391
Sn 0.452 -2.313 8.391
Sn -2.229 -0.766 10.782
Sn 1.778 1.548 8.391
Sn 1.778 -1.548 10.782
Sn 0.452 2.313 10.782
```

Results
SG   R-3c
E   -3.5103 eV/atom
Fermi-level density of states   4.3 states/eV/f.u.
Crystal system   trigonal

=====

This record from the Alexandria database describes crystalline TmZrCrTc at its relaxed geometry. The functional is GGA-PBE.

The structure in extended XYZ format:
```
16
Lattice="6.744 0.000 0.000 0.000 6.744 0.000 0.000 0.000 6.744" Properties=species:S:1:pos:R:3 pbc="T T T"
Tm 0.000 0.000 0.000
Tm 0.000 3.372 3.372
Tm 3.372 0.000 3.372
Tm 3.372 3.372 0.000
Zr 0.000 0.000 3.372
Zr 0.000 3.372 0.000
Zr 3.372 0.000 0.000
Zr 3.372 3.372 3.372
Cr 1.686 1.686 5.058
Cr 1.686 5.058 1.686
Cr 5.058 1.686 1.686
Cr 5.058 5.058 5.058
Tc 1.686 1.686 1.686
Tc 1.686 5.058 5.058
Tc 5.058 1.686 5.058
Tc 5.058 5.058 1.686
```

Results
SG   F-43m
E   -8.2316 eV/atom
Fermi-level density of states   2.7 states/eV/f.u.
Crystal system   cubic

=====

This record from the Alexandria database describes crystalline PrMgNi2 at its relaxed geometry. The functional is GGA-PBE.

The structure in extended XYZ format:
```
4
Lattice="3.347 0.000 0.000 0.000 3.347 0.000 0.000 0.000 6.444" Properties=species:S:1:pos:R:3 pbc="T T T"
Pr 0.000 0.000 0.000
Mg 0.000 0.000 3.222
Ni 1.674 1.674 1.907
Ni 1.674 1.674 4.537
```

Results
SG   P4/mmm
E   -4.6138 eV/atom
Fermi-level density of states   1.6 states/eV/f.u.
Crystal system   tetragonal

=====

Question: Which of these has the lowest Fermi-level density of states?
Answer: ZnSn2Ru